Tb4AsSe2Cl: relaxed, PBE.

As for the energy: -5.599 eV/atom. The calculation puts the total moment at 0.000 μB/atom. Its crystal system is monoclinic.

It has space group P2/m (No. 10), with a = 7.085 Å, b = 4.119 Å, c = 7.099 Å, α = 90.00°, β = 109.69° and γ = 90.00°. Symmetry generates all atoms from Tb at (0.226, 0.000, 0.235), Tb at (0.232, 0.500, 0.751), As at (0.000, 0.000, 0.500), Se at (0.000, 0.500, 0.000), Se at (0.500, 0.000, 0.000) and Cl at (0.500, 0.500, 0.500).